#A
Compound: Pm2Er2Cd
Source: Alexandria via LeMat-Bulk
Functional: GGA-PBE
Structure: optimized geometry Values from VASP.

```
&SYSTEM
  ibrav = 0, nat = 5, ntyp = 3
/
ATOMIC_SPECIES
Pm 145.00 Pm.upf
Er 167.26 Er.upf
Cd 112.41 Cd.upf
ATOMIC_POSITIONS crystal
Pm 0.750 0.250 0.500
Pm 0.250 0.750 0.500
Er 0.412 0.412 0.824
Er 0.588 0.588 0.176
Cd 0.000 0.000 0.000
CELL_PARAMETERS angstrom
-4.244 -0.834 0.191
0.092 -1.402 -4.095
3.800 -7.015 4.776
```

#B
Compound: Pm2Er2Cd
Source: Alexandria via LeMat-Bulk
Functional: GGA-PBE
Structure: optimized geometry Values from VASP.

```
&SYSTEM
  ibrav = 0, nat = 5, ntyp = 3
/
ATOMIC_SPECIES
Pm 145.00 Pm.upf
Er 167.26 Er.upf
Cd 112.41 Cd.upf
ATOMIC_POSITIONS crystal
Pm 0.806 0.806 0.613
Pm 0.194 0.194 0.387
Er 0.586 0.586 0.172
Er 0.414 0.414 0.828
Cd 0.000 0.000 0.000
CELL_PARAMETERS angstrom
3.547 0.000 -0.569
-0.091 3.546 -0.569
0.100 0.102 11.961
```

Which one sits at the top of the stability order? #B does.

#A
Compound: Pm3Er2Cd2
Source: Alexandria via LeMat-Bulk
Functional: GGA-PBE
Structure: optimized geometry Values from VASP.

```
&SYSTEM
  ibrav = 0, nat = 7, ntyp = 3
/
ATOMIC_SPECIES
Pm 145.00 Pm.upf
Er 167.26 Er.upf
Cd 112.41 Cd.upf
ATOMIC_POSITIONS crystal
Pm 0.500 0.000 0.000
Pm 0.658 0.316 0.474
Pm 0.342 0.684 0.526
Er 0.927 0.853 0.280
Er 0.073 0.147 0.720
Cd 0.789 0.579 0.868
Cd 0.211 0.421 0.132
CELL_PARAMETERS angstrom
5.445 0.000 0.000
-2.722 4.704 -0.291
0.000 -2.640 8.209
```

#B
Compound: Pm3Er2Cd2
Source: Alexandria via LeMat-Bulk
Functional: GGA-PBE
Structure: optimized geometry Values from VASP.

```
&SYSTEM
  ibrav = 0, nat = 7, ntyp = 3
/
ATOMIC_SPECIES
Pm 145.00 Pm.upf
Er 167.26 Er.upf
Cd 112.41 Cd.upf
ATOMIC_POSITIONS crystal
Pm 0.853 0.000 0.294
Pm 0.000 0.000 0.000
Pm 0.147 0.000 0.706
Er 0.711 0.500 0.579
Er 0.289 0.500 0.421
Cd 0.569 0.500 0.861
Cd 0.431 0.500 0.139
CELL_PARAMETERS angstrom
-2.700 -2.064 -3.844
-2.381 -1.146 2.288
-7.204 8.799 -3.089
```

Which one sits at the top of the stability order? #A does.

#A
Compound: PmErCd4
Source: Alexandria via LeMat-Bulk
Functional: GGA-PBE
Structure: optimized geometry Values from VASP.

```
&SYSTEM
  ibrav = 0, nat = 6, ntyp = 3
/
ATOMIC_SPECIES
Pm 145.00 Pm.upf
Er 167.26 Er.upf
Cd 112.41 Cd.upf
ATOMIC_POSITIONS crystal
Pm 0.501 0.497 0.998
Er 0.001 0.997 0.498
Cd 0.501 0.997 0.169
Cd 0.501 0.997 0.827
Cd 0.001 0.497 0.661
Cd 0.002 0.497 0.335
CELL_PARAMETERS angstrom
3.268 1.016 -0.006
1.785 5.804 0.017
0.026 -0.034 8.686
```

#B
Compound: PmErCd4
Source: Alexandria via LeMat-Bulk
Functional: GGA-PBE
Structure: optimized geometry Values from VASP.

```
&SYSTEM
  ibrav = 0, nat = 6, ntyp = 3
/
ATOMIC_SPECIES
Cd 112.41 Cd.upf
Pm 145.00 Pm.upf
Er 167.26 Er.upf
ATOMIC_POSITIONS crystal
Cd 0.625 0.625 0.125
Cd 0.625 0.125 0.625
Cd 0.625 0.625 0.625
Cd 0.125 0.625 0.625
Pm 0.250 0.250 0.250
Er 0.000 0.000 0.000
CELL_PARAMETERS angstrom
5.933 0.000 0.000
2.966 5.138 0.000
2.966 1.713 4.844
```

Which one sits at the top of the stability order? #A does.

#A
Compound: PmErThCd
Source: Alexandria via LeMat-Bulk
Functional: GGA-PBE
Structure: optimized geometry Values from VASP.

```
&SYSTEM
  ibrav = 0, nat = 4, ntyp = 4
/
ATOMIC_SPECIES
Pm 145.00 Pm.upf
Er 167.26 Er.upf
Th 232.04 Th.upf
Cd 112.41 Cd.upf
ATOMIC_POSITIONS crystal
Pm 0.000 0.000 0.088
Er 0.000 0.000 0.551
Th 0.500 0.500 0.814
Cd 0.500 0.500 0.332
CELL_PARAMETERS angstrom
3.623 0.000 0.000
0.000 3.623 0.000
0.000 0.000 8.920
```

#B
Compound: PmErThCd
Source: Alexandria via LeMat-Bulk
Functional: GGA-PBE
Structure: optimized geometry Values from VASP.

```
&SYSTEM
  ibrav = 0, nat = 4, ntyp = 4
/
ATOMIC_SPECIES
Cd 112.41 Cd.upf
Pm 145.00 Pm.upf
Th 232.04 Th.upf
Er 167.26 Er.upf
ATOMIC_POSITIONS crystal
Cd 0.750 0.750 0.750
Pm 0.250 0.250 0.250
Th 0.500 0.500 0.500
Er 0.000 0.000 0.000
CELL_PARAMETERS angstrom
-2.489 -4.295 2.358
0.213 -4.948 -2.383
2.999 -4.012 2.261
```

Which one sits at the top of the stability order? #A does.

#A
Compound: PmYErCd
Source: Alexandria via LeMat-Bulk
Functional: GGA-PBE
Structure: optimized geometry Values from VASP.

```
&SYSTEM
  ibrav = 0, nat = 4, ntyp = 4
/
ATOMIC_SPECIES
Pm 145.00 Pm.upf
Y 88.91 Y.upf
Er 167.26 Er.upf
Cd 112.41 Cd.upf
ATOMIC_POSITIONS crystal
Pm 0.000 0.000 0.074
Y 0.500 0.500 0.793
Er 0.500 0.500 0.350
Cd 0.000 0.000 0.568
CELL_PARAMETERS angstrom
3.614 0.000 0.000
0.000 3.614 0.000
0.000 0.000 9.038
```

#B
Compound: PmYErCd
Source: Alexandria via LeMat-Bulk
Functional: GGA-PBE
Structure: optimized geometry Values from VASP.

```
&SYSTEM
  ibrav = 0, nat = 4, ntyp = 4
/
ATOMIC_SPECIES
Y 88.91 Y.upf
Cd 112.41 Cd.upf
Pm 145.00 Pm.upf
Er 167.26 Er.upf
ATOMIC_POSITIONS crystal
Y 0.500 0.500 0.500
Cd 0.750 0.750 0.750
Pm 0.000 0.000 0.000
Er 0.250 0.250 0.250
CELL_PARAMETERS angstrom
5.482 0.000 0.000
2.741 4.748 0.000
2.741 1.583 4.476
```

Which one sits at the top of the stability order? #A does.

#A
Compound: PrEr2Cd
Source: Alexandria via LeMat-Bulk
Functional: GGA-PBE
Structure: optimized geometry Values from VASP.

```
&SYSTEM
  ibrav = 0, nat = 4, ntyp = 3
/
ATOMIC_SPECIES
Pr 140.91 Pr.upf
Cd 112.41 Cd.upf
Er 167.26 Er.upf
ATOMIC_POSITIONS crystal
Pr 0.500 0.500 0.500
Cd 0.000 0.000 0.000
Er 0.257 0.257 0.228
Er 0.743 0.743 0.772
CELL_PARAMETERS angstrom
3.592 0.000 0.000
1.796 3.111 0.000
1.796 1.037 10.799
```

#B
Compound: PrEr2Cd
Source: Alexandria via LeMat-Bulk
Functional: GGA-PBE
Structure: optimized geometry Values from VASP.

```
&SYSTEM
  ibrav = 0, nat = 4, ntyp = 3
/
ATOMIC_SPECIES
Pr 140.91 Pr.upf
Cd 112.41 Cd.upf
Er 167.26 Er.upf
ATOMIC_POSITIONS crystal
Pr 0.000 0.000 0.000
Cd 0.500 0.500 0.500
Er 0.250 0.250 0.250
Er 0.750 0.750 0.750
CELL_PARAMETERS angstrom
-2.292 -4.892 -0.864
0.738 -4.043 3.612
-4.165 -1.662 3.135
```

Which one sits at the top of the stability order? #A does.

#A
Compound: Pr2ErCd
Source: Alexandria via LeMat-Bulk
Functional: GGA-PBE
Structure: optimized geometry Values from VASP.

```
&SYSTEM
  ibrav = 0, nat = 4, ntyp = 3
/
ATOMIC_SPECIES
Pr 140.91 Pr.upf
Cd 112.41 Cd.upf
Er 167.26 Er.upf
ATOMIC_POSITIONS crystal
Pr 0.250 0.250 0.250
Pr 0.750 0.750 0.750
Cd 0.500 0.500 0.500
Er 0.000 0.000 0.000
CELL_PARAMETERS angstrom
5.582 0.000 0.000
2.791 4.834 0.000
2.791 1.611 4.558
```

#B
Compound: Pr2ErCd
Source: Alexandria via LeMat-Bulk
Functional: GGA-PBE
Structure: optimized geometry Values from VASP.

```
&SYSTEM
  ibrav = 0, nat = 4, ntyp = 3
/
ATOMIC_SPECIES
Pr 140.91 Pr.upf
Cd 112.41 Cd.upf
Er 167.26 Er.upf
ATOMIC_POSITIONS crystal
Pr 0.089 0.089 0.732
Pr 0.911 0.911 0.268
Cd 0.000 0.000 0.000
Er 0.500 0.500 0.500
CELL_PARAMETERS angstrom
3.538 0.000 0.000
1.769 3.064 0.000
1.769 1.021 12.447
```

Which one sits at the top of the stability order? #A does.

#A
Compound: Pr8ErCd2
Source: Alexandria via LeMat-Bulk
Functional: GGA-PBE
Structure: optimized geometry Values from VASP.

```
&SYSTEM
  ibrav = 0, nat = 11, ntyp = 3
/
ATOMIC_SPECIES
Pr 140.91 Pr.upf
Er 167.26 Er.upf
Cd 112.41 Cd.upf
ATOMIC_POSITIONS crystal
Pr 0.783 0.156 0.635
Pr 0.217 0.365 0.844
Pr 0.873 0.240 0.240
Pr 0.127 0.760 0.760
Pr 0.783 0.635 0.156
Pr 0.217 0.844 0.365
Pr 0.291 0.416 0.416
Pr 0.709 0.584 0.584
Er 0.000 0.000 0.000
Cd 0.453 0.115 0.115
Cd 0.547 0.885 0.885
CELL_PARAMETERS angstrom
5.260 0.207 0.177
0.949 8.971 0.291
0.949 1.678 8.817
```

#B
Compound: Pr8ErCd2
Source: Alexandria via LeMat-Bulk
Functional: GGA-PBE
Structure: optimized geometry Values from VASP.

```
&SYSTEM
  ibrav = 0, nat = 11, ntyp = 3
/
ATOMIC_SPECIES
Pr 140.91 Pr.upf
Cd 112.41 Cd.upf
Er 167.26 Er.upf
ATOMIC_POSITIONS crystal
Pr 0.603 0.468 0.206
Pr 0.313 0.046 0.626
Pr 0.147 0.205 0.294
Pr 0.052 0.740 0.103
Pr 0.853 0.795 0.706
Pr 0.687 0.954 0.374
Pr 0.397 0.532 0.794
Pr 0.948 0.260 0.897
Cd 0.222 0.632 0.443
Cd 0.778 0.368 0.557
Er 0.500 0.000 0.000
CELL_PARAMETERS angstrom
5.162 0.000 -1.667
-1.214 7.589 -3.759
0.068 0.522 9.038
```

Which one sits at the top of the stability order? #B does.